The following is a DFT calculation (PBE) of crystalline CdSnPS2 at its relaxed geometry.

Unit cell a=5.0090 b=5.0090 c=5.1306 alpha=90.00 beta=90.00 gamma=90.00
With the nearest neighbours (Å) after each atom.
Element x y z (fractional)
Cd: 0.0000 0.0000 0.0000  4 P 3.54, 8 S 3.59
Sn: 0.5000 0.5000 0.5000  4 S 2.50, 2 P 2.57
P: 0.5000 0.5000 0.0000  2 Sn 2.57
S: 0.0000 0.5000 0.5000  2 Sn 2.50
S: 0.5000 0.0000 0.5000  2 Sn 2.50

Summary:
volume: 25.7 Å³ per atom
excess energy over the best structure of this formula in the dataset: 0.0 meV/atom
formation energy without anion corrections: 273 kJ/mol of formula units